(1)
Crystalline NaLaGdHg at its relaxed geometry, computed with PBE.

Unit cell a=5.507 b=5.507 c=5.507 alpha=60.00 beta=60.00 gamma=60.00
Atoms (fractional coordinates):
1 Na 0.000 0.000 0.000
2 La 0.250 0.250 0.250
3 Gd 0.750 0.750 0.750
4 Hg 0.500 0.500 0.500

Values from the calculation:
- Electronic total energy: -21.02 eV for the cell shown
- Calculated formation energy: -0.098 eV/atom

---

(2)
Crystalline ZnTeIr2 at its relaxed geometry, computed with PBE.

Unit cell a=3.003 b=3.003 c=8.089 alpha=90.00 beta=90.00 gamma=90.00
Atoms (fractional coordinates):
1 Zn 0.000 0.000 0.000
2 Te 0.500 0.500 0.639
3 Ir 0.000 0.000 0.414
4 Ir 0.500 0.500 0.187

Values from the calculation:
- E_form (uncorrected): 0.288 eV per atom
- Electronic total energy: -20.99 eV for the cell shown
- ΔE to the lowest computed polymorph: 0.098 eV per atom